(1)
This record from the Alexandria database describes a relaxed OsRuW2 crystal. The functional is PBE.

- Mass density: 18.01 Mg/m³
- DFT total energy: -46.0 eV per cell
- Energy above the most stable polymorph in this dataset: 56 meV/atom

Lattice parameters (Å, degrees): 4.872 4.872 4.872 132.98 132.98 68.68
Fractional coordinates of all 4 atoms:
1 Os 0.500 0.500 0.000
2 W 0.000 0.000 0.000
3 W 0.250 0.750 0.500
4 Ru 0.750 0.250 0.500


(2)
This record from the Alexandria database describes a relaxed OsRuW2 crystal. The functional is PBE.

- Mass density: 17.80 Mg/m³
- DFT total energy: -44.9 eV per cell
- Energy above the most stable polymorph in this dataset: 332 meV/atom

Lattice parameters (Å, degrees): 4.430 4.430 4.430 60.00 60.00 60.00
Fractional coordinates of all 4 atoms:
1 W 0.250 0.250 0.250
2 W 0.750 0.750 0.750
3 Os 0.500 0.500 0.500
4 Ru 0.000 0.000 0.000


(3)
This record from the Alexandria database describes a relaxed OsRuW2 crystal. The functional is PBE.

- Mass density: 18.06 Mg/m³
- DFT total energy: -46.2 eV per cell
- Energy above the most stable polymorph in this dataset: 9 meV/atom

Lattice parameters (Å, degrees): 3.910 3.937 3.937 90.00 90.00 90.00
Fractional coordinates of all 4 atoms:
1 Os 0.500 0.500 0.000
2 W 0.000 0.500 0.500
3 W 0.000 0.000 0.000
4 Ru 0.500 0.000 0.500


(4)
This record from the Alexandria database describes a relaxed Os2Ru3W2 crystal. The functional is PBE.

- Mass density: 16.98 Mg/m³
- DFT total energy: -75.9 eV per cell

Lattice parameters (Å, degrees): 3.863 4.773 6.161 97.52 90.00 113.87
Fractional coordinates of all 7 atoms:
1 W 0.426 0.852 0.278
2 W 0.574 0.148 0.722
3 Ru 0.713 0.426 0.145
4 Ru 0.287 0.574 0.855
5 Ru 0.000 0.000 0.000
6 Os 0.146 0.293 0.429
7 Os 0.854 0.707 0.571


(5)
This record from the Alexandria database describes a relaxed OsRu4W crystal. The functional is PBE.

- Mass density: 15.05 Mg/m³
- DFT total energy: -61.4 eV per cell
- Energy above the most stable polymorph in this dataset: 0 meV/atom

Lattice parameters (Å, degrees): 2.758 4.362 7.269 90.00 100.91 90.00
Fractional coordinates of all 6 atoms:
1 Ru 0.945 0.003 0.135
2 Ru 0.060 0.503 0.363
3 Ru 0.281 0.003 0.808
4 Ru 0.727 0.503 0.699
5 W 0.614 0.003 0.476
6 Os 0.392 0.503 0.031


(6)
This record from the Alexandria database describes a relaxed Os3Ru2W crystal. The functional is PBE.

- Mass density: 17.60 Mg/m³
- DFT total energy: -127.5 eV per cell

Lattice parameters (Å, degrees): 2.756 7.908 8.954 110.31 98.94 89.96
Fractional coordinates of all 12 atoms:
1 Ru 0.936 0.865 0.873
2 Ru 0.305 0.622 0.609
3 Ru 0.695 0.378 0.391
4 Ru 0.064 0.135 0.127
5 Os 0.441 0.574 0.885
6 Os 0.926 0.257 0.852
7 Os 0.701 0.726 0.406
8 Os 0.299 0.274 0.594
9 Os 0.559 0.426 0.115
10 Os 0.074 0.743 0.148
11 W 0.675 0.033 0.349
12 W 0.325 0.967 0.651


> Among the records above, which one has the highest DFT total energy?

number 2